Record 1
Crystalline TePb4Se3 at its relaxed geometry, computed with GGA-PBE.

Lattice parameters (Å, degrees): 12.634 6.259 6.345 90.00 90.00 90.00
Positions (direct):
Te 0.000 0.249 0.000
Te 0.500 0.751 0.500
Pb 0.000 0.250 0.497
Pb 0.000 0.749 0.986
Pb 0.242 0.751 0.483
Pb 0.258 0.249 0.983
Pb 0.500 0.251 0.486
Pb 0.500 0.750 0.997
Pb 0.742 0.249 0.983
Pb 0.758 0.751 0.483
Se 0.000 0.750 0.500
Se 0.250 0.250 0.501
Se 0.250 0.750 0.001
Se 0.500 0.250 0.000
Se 0.750 0.250 0.501
Se 0.750 0.750 0.001

Computed properties:
As for the formation energy from raw total energies: -505 meV per atom. The calculation puts the energy above the most stable polymorph in this dataset at 10 meV per atom. Its space group is No. 31.

Record 2
Crystalline LaTb2Y5 at its relaxed geometry, computed with GGA-PBE.

Lattice parameters (Å, degrees): 7.187 20.236 7.196 90.00 90.00 90.00
Positions (direct):
La 0.249 0.125 0.000
La 0.251 0.625 0.000
La 0.749 0.375 0.000
La 0.751 0.875 0.000
Tb 0.000 0.000 0.253
Tb 0.000 0.000 0.747
Tb 0.250 0.125 0.500
Tb 0.250 0.625 0.500
Tb 0.500 0.500 0.253
Tb 0.500 0.500 0.747
Tb 0.750 0.375 0.500
Tb 0.750 0.875 0.500
Y 0.000 0.500 0.253
Y 0.000 0.500 0.747
Y 0.001 0.250 0.253
Y 0.001 0.250 0.747
Y 0.248 0.875 0.000
Y 0.248 0.875 0.500
Y 0.252 0.375 0.000
Y 0.252 0.375 0.500
Y 0.499 0.750 0.253
Y 0.499 0.750 0.747
Y 0.500 0.000 0.253
Y 0.500 0.000 0.747
Y 0.501 0.250 0.253
Y 0.501 0.250 0.747
Y 0.748 0.625 0.000
Y 0.748 0.625 0.500
Y 0.752 0.125 0.000
Y 0.752 0.125 0.500
Y 0.999 0.750 0.253
Y 0.999 0.750 0.747

Computed properties:
The calculation puts the formation energy from the elements at 2.0 kJ/mol of atoms. The calculation puts the energy above the most stable polymorph in this dataset at 0 meV per atom. Its space group is No. 55.

Record 3
Crystalline CuHgBr at its relaxed geometry, computed with GGA-PBE.

Lattice parameters (Å, degrees): 7.175 6.566 3.934 82.10 65.01 32.89
Positions (direct):
Cu 0.000 0.000 0.000
Hg 0.656 0.656 0.344
Br 0.380 0.380 0.620

Computed properties:
As for the formation energy from raw total energies: 1 meV per atom. The calculation puts the energy above the most stable polymorph in this dataset at 112 meV per atom. Its space group is No. 42.

Record 4
Crystalline Pu3FeHg at its relaxed geometry, computed with GGA-PBE.

Lattice parameters (Å, degrees): 5.036 5.036 5.036 90.00 90.00 90.00
Positions (direct):
Pu 0.000 0.000 0.500
Pu 0.000 0.500 0.000
Pu 0.500 0.000 0.000
Fe 0.000 0.000 0.000
Hg 0.500 0.500 0.500

Computed properties:
The calculation puts the formation energy from the elements at 9.2 kJ/mol of atoms. Its space group is No. 221.

| no. | total moment (μB/cell) |
| --- | --- |
| 1 | 0.0 |
| 2 | 0.0 |
| 3 | 0.0 |
| 4 | 16.2 |